No. 1
# Ho3ErPd (PBE, relaxed)
# E_form: -0.27 eV/atom
# magnetization: 0.00 μB/f.u.
# energy relative to the lowest polymorph listed for this composition: 94 meV/atom
data_Ho3ErPd
_cell_length_a 7.112
_cell_length_b 7.112
_cell_length_c 7.847
_cell_angle_alpha 120.12
_cell_angle_beta 120.12
_cell_angle_gamma 72.71
_symmetry_space_group_name_H-M 'P 1'
_symmetry_Int_Tables_number 1
loop_
_symmetry_equiv_pos_as_xyz
'x,y,z'
loop_
_atom_site_label
_atom_site_fract_x
_atom_site_fract_y
_atom_site_fract_z
_atom_site_occupancy
Ho1 0.040 0.040 0.313 1
Ho2 0.093 0.491 0.260 1
Ho3 0.491 0.093 0.260 1
Ho4 0.509 0.907 0.740 1
Ho5 0.907 0.509 0.740 1
Ho6 0.960 0.960 0.687 1
Er1 0.427 0.427 0.727 1
Er2 0.573 0.573 0.273 1
Pd1 0.269 0.269 0.917 1
Pd2 0.731 0.731 0.083 1

---

No. 2
# HoEr6Pd3 (PBE, relaxed)
# E_form: -0.52 eV/atom
# magnetization: 0.00 μB/f.u.
data_HoEr6Pd3
_cell_length_a 8.630
_cell_length_b 8.630
_cell_length_c 7.183
_cell_angle_alpha 90.00
_cell_angle_beta 90.00
_cell_angle_gamma 98.72
_symmetry_space_group_name_H-M 'P 1'
_symmetry_Int_Tables_number 1
loop_
_symmetry_equiv_pos_as_xyz
'x,y,z'
loop_
_atom_site_label
_atom_site_fract_x
_atom_site_fract_y
_atom_site_fract_z
_atom_site_occupancy
Ho1 0.183 0.817 0.500 1
Ho2 0.817 0.183 0.000 1
Er1 0.080 0.465 0.719 1
Er2 0.129 0.207 0.372 1
Er3 0.207 0.129 0.872 1
Er4 0.271 0.729 0.021 1
Er5 0.465 0.080 0.219 1
Er6 0.466 0.534 0.379 1
Er7 0.534 0.466 0.879 1
Er8 0.535 0.920 0.719 1
Er9 0.729 0.271 0.521 1
Er10 0.793 0.871 0.372 1
Er11 0.871 0.793 0.872 1
Er12 0.920 0.535 0.219 1
Pd1 0.078 0.922 0.166 1
Pd2 0.207 0.412 0.085 1
Pd3 0.412 0.207 0.585 1
Pd4 0.588 0.793 0.085 1
Pd5 0.793 0.588 0.585 1
Pd6 0.922 0.078 0.666 1

---

No. 3
# Ho3Er3Pd2 (PBE, relaxed)
# E_form: -0.38 eV/atom
# magnetization: 0.00 μB/f.u.
data_Ho3Er3Pd2
_cell_length_a 6.786
_cell_length_b 6.786
_cell_length_c 18.033
_cell_angle_alpha 90.00
_cell_angle_beta 90.00
_cell_angle_gamma 148.01
_symmetry_space_group_name_H-M 'P 1'
_symmetry_Int_Tables_number 1
loop_
_symmetry_equiv_pos_as_xyz
'x,y,z'
loop_
_atom_site_label
_atom_site_fract_x
_atom_site_fract_y
_atom_site_fract_z
_atom_site_occupancy
Ho1 0.053 0.947 0.591 1
Ho2 0.053 0.947 0.909 1
Ho3 0.308 0.692 0.750 1
Ho4 0.692 0.308 0.250 1
Ho5 0.947 0.053 0.091 1
Ho6 0.947 0.053 0.409 1
Er1 0.334 0.666 0.551 1
Er2 0.334 0.666 0.949 1
Er3 0.424 0.576 0.250 1
Er4 0.576 0.424 0.750 1
Er5 0.666 0.334 0.051 1
Er6 0.666 0.334 0.449 1
Pd1 0.279 0.721 0.135 1
Pd2 0.279 0.721 0.365 1
Pd3 0.721 0.279 0.635 1
Pd4 0.721 0.279 0.865 1

---

No. 4
# HoErPdRh (PBE, relaxed)
# E_form: -0.92 eV/atom
# magnetization: 0.00 μB/f.u.
# energy relative to the lowest polymorph listed for this composition: 14 meV/atom
data_HoErPdRh
_cell_length_a 4.869
_cell_length_b 4.869
_cell_length_c 4.869
_cell_angle_alpha 60.00
_cell_angle_beta 60.00
_cell_angle_gamma 60.00
_symmetry_space_group_name_H-M 'P 1'
_symmetry_Int_Tables_number 1
loop_
_symmetry_equiv_pos_as_xyz
'x,y,z'
loop_
_atom_site_label
_atom_site_fract_x
_atom_site_fract_y
_atom_site_fract_z
_atom_site_occupancy
Ho1 0.000 0.000 0.000 1
Er1 0.500 0.500 0.500 1
Pd1 0.250 0.250 0.250 1
Rh1 0.750 0.750 0.750 1

---

No. 5
# HoErPdRh (PBE, relaxed)
# E_form: -0.93 eV/atom
# magnetization: 0.00 μB/f.u.
# energy relative to the lowest polymorph listed for this composition: 0 meV/atom
data_HoErPdRh
_cell_length_a 3.437
_cell_length_b 3.437
_cell_length_c 6.911
_cell_angle_alpha 90.00
_cell_angle_beta 90.00
_cell_angle_gamma 90.00
_symmetry_space_group_name_H-M 'P 1'
_symmetry_Int_Tables_number 1
loop_
_symmetry_equiv_pos_as_xyz
'x,y,z'
loop_
_atom_site_label
_atom_site_fract_x
_atom_site_fract_y
_atom_site_fract_z
_atom_site_occupancy
Ho1 0.000 0.000 0.000 1
Er1 0.000 0.000 0.518 1
Pd1 0.500 0.500 0.261 1
Rh1 0.500 0.500 0.757 1

---

No. 6
# Ho3Er3PdRu2 (PBE, relaxed)
# E_form: -0.40 eV/atom
# magnetization: 0.00 μB/f.u.
data_Ho3Er3PdRu2
_cell_length_a 7.265
_cell_length_b 7.265
_cell_length_c 4.707
_cell_angle_alpha 90.00
_cell_angle_beta 90.00
_cell_angle_gamma 120.00
_symmetry_space_group_name_H-M 'P 1'
_symmetry_Int_Tables_number 1
loop_
_symmetry_equiv_pos_as_xyz
'x,y,z'
loop_
_atom_site_label
_atom_site_fract_x
_atom_site_fract_y
_atom_site_fract_z
_atom_site_occupancy
Ho1 0.000 0.268 0.000 1
Ho2 0.268 0.000 0.000 1
Ho3 0.732 0.732 0.000 1
Er1 0.000 0.586 0.500 1
Er2 0.414 0.414 0.500 1
Er3 0.586 0.000 0.500 1
Pd1 0.000 0.000 0.500 1
Ru1 0.333 0.667 0.000 1
Ru2 0.667 0.333 0.000 1

---

No. 7
# HoErScPd (PBE, relaxed)
# E_form: -0.20 eV/atom
# magnetization: 0.00 μB/f.u.
data_HoErScPd
_cell_length_a 5.125
_cell_length_b 5.125
_cell_length_c 5.125
_cell_angle_alpha 60.00
_cell_angle_beta 60.00
_cell_angle_gamma 60.00
_symmetry_space_group_name_H-M 'P 1'
_symmetry_Int_Tables_number 1
loop_
_symmetry_equiv_pos_as_xyz
'x,y,z'
loop_
_atom_site_label
_atom_site_fract_x
_atom_site_fract_y
_atom_site_fract_z
_atom_site_occupancy
Ho1 0.000 0.000 0.000 1
Er1 0.500 0.500 0.500 1
Sc1 0.250 0.250 0.250 1
Pd1 0.750 0.750 0.750 1

---

No. 8
# HoErSiPd (PBE, relaxed)
# magnetization: 0.00 μB/f.u.
# ΔE_f (raw): -742 meV per atom
# energy relative to the lowest polymorph listed for this composition: 110 meV/atom
data_HoErSiPd
_cell_length_a 4.943
_cell_length_b 4.943
_cell_length_c 4.943
_cell_angle_alpha 60.00
_cell_angle_beta 60.00
_cell_angle_gamma 60.00
_symmetry_space_group_name_H-M 'P 1'
_symmetry_Int_Tables_number 1
loop_
_symmetry_equiv_pos_as_xyz
'x,y,z'
loop_
_atom_site_label
_atom_site_fract_x
_atom_site_fract_y
_atom_site_fract_z
_atom_site_occupancy
Ho1 0.000 0.000 0.000 1
Er1 0.500 0.500 0.500 1
Si1 0.750 0.750 0.750 1
Pd1 0.250 0.250 0.250 1

---

No. 9
# HoErSiPd (PBE, relaxed)
# magnetization: 0.00 μB/f.u.
# ΔE_f (raw): -852 meV per atom
# energy relative to the lowest polymorph listed for this composition: 0 meV/atom
data_HoErSiPd
_cell_length_a 4.210
_cell_length_b 5.697
_cell_length_c 5.697
_cell_angle_alpha 40.20
_cell_angle_beta 90.00
_cell_angle_gamma 90.00
_symmetry_space_group_name_H-M 'P 1'
_symmetry_Int_Tables_number 1
loop_
_symmetry_equiv_pos_as_xyz
'x,y,z'
loop_
_atom_site_label
_atom_site_fract_x
_atom_site_fract_y
_atom_site_fract_z
_atom_site_occupancy
Ho1 0.000 0.000 0.000 1
Er1 0.500 0.718 0.718 1
Si1 0.000 0.279 0.279 1
Pd1 0.500 0.433 0.433 1

---

No. 10
# HoErSnPd (PBE, relaxed)
# E_form: -0.75 eV/atom
# magnetization: 0.00 μB/f.u.
data_HoErSnPd
_cell_length_a 5.124
_cell_length_b 5.124
_cell_length_c 5.124
_cell_angle_alpha 60.00
_cell_angle_beta 60.00
_cell_angle_gamma 60.00
_symmetry_space_group_name_H-M 'P 1'
_symmetry_Int_Tables_number 1
loop_
_symmetry_equiv_pos_as_xyz
'x,y,z'
loop_
_atom_site_label
_atom_site_fract_x
_atom_site_fract_y
_atom_site_fract_z
_atom_site_occupancy
Ho1 0.000 0.000 0.000 1
Er1 0.500 0.500 0.500 1
Sn1 0.750 0.750 0.750 1
Pd1 0.250 0.250 0.250 1

---

No. 11
# HoErTlPd (PBE, relaxed)
# E_form: -0.55 eV/atom
# magnetization: 0.00 μB/f.u.
# energy relative to the lowest polymorph listed for this composition: 72 meV/atom
data_HoErTlPd
_cell_length_a 5.143
_cell_length_b 5.143
_cell_length_c 5.143
_cell_angle_alpha 60.00
_cell_angle_beta 60.00
_cell_angle_gamma 60.00
_symmetry_space_group_name_H-M 'P 1'
_symmetry_Int_Tables_number 1
loop_
_symmetry_equiv_pos_as_xyz
'x,y,z'
loop_
_atom_site_label
_atom_site_fract_x
_atom_site_fract_y
_atom_site_fract_z
_atom_site_occupancy
Ho1 0.000 0.000 0.000 1
Er1 0.500 0.500 0.500 1
Tl1 0.250 0.250 0.250 1
Pd1 0.750 0.750 0.750 1

---

No. 12
# HoErTlPd (PBE, relaxed)
# E_form: -0.63 eV/atom
# magnetization: 0.00 μB/f.u.
# energy relative to the lowest polymorph listed for this composition: 0 meV/atom
data_HoErTlPd
_cell_length_a 3.545
_cell_length_b 3.545
_cell_length_c 7.642
_cell_angle_alpha 90.00
_cell_angle_beta 90.00
_cell_angle_gamma 90.00
_symmetry_space_group_name_H-M 'P 1'
_symmetry_Int_Tables_number 1
loop_
_symmetry_equiv_pos_as_xyz
'x,y,z'
loop_
_atom_site_label
_atom_site_fract_x
_atom_site_fract_y
_atom_site_fract_z
_atom_site_occupancy
Ho1 0.000 0.000 0.000 1
Er1 0.000 0.000 0.556 1
Tl1 0.500 0.500 0.279 1
Pd1 0.500 0.500 0.775 1

---

No. 13
# HoErZnPd (PBE, relaxed)
# E_form: -0.62 eV/atom
# magnetization: 0.00 μB/f.u.
data_HoErZnPd
_cell_length_a 4.969
_cell_length_b 4.969
_cell_length_c 4.969
_cell_angle_alpha 60.00
_cell_angle_beta 60.00
_cell_angle_gamma 60.00
_symmetry_space_group_name_H-M 'P 1'
_symmetry_Int_Tables_number 1
loop_
_symmetry_equiv_pos_as_xyz
'x,y,z'
loop_
_atom_site_label
_atom_site_fract_x
_atom_site_fract_y
_atom_site_fract_z
_atom_site_occupancy
Ho1 0.000 0.000 0.000 1
Er1 0.500 0.500 0.500 1
Zn1 0.250 0.250 0.250 1
Pd1 0.750 0.750 0.750 1

---

No. 14
# Pm3Ho2Er7 (PBE, relaxed)
# E_form: 0.31 eV/atom
# magnetization: 0.00 μB/f.u.
# energy relative to the lowest polymorph listed for this composition: 218 meV/atom
data_Pm3Ho2Er7
_cell_length_a 6.057
_cell_length_b 5.604
_cell_length_c 12.132
_cell_angle_alpha 90.00
_cell_angle_beta 94.85
_cell_angle_gamma 90.00
_symmetry_space_group_name_H-M 'P 1'
_symmetry_Int_Tables_number 1
loop_
_symmetry_equiv_pos_as_xyz
'x,y,z'
loop_
_atom_site_label
_atom_site_fract_x
_atom_site_fract_y
_atom_site_fract_z
_atom_site_occupancy
Pm1 0.000 0.000 0.000 1
Pm2 0.471 0.500 0.324 1
Pm3 0.529 0.500 0.676 1
Ho1 0.139 0.000 0.289 1
Ho2 0.861 0.000 0.711 1
Er1 0.047 0.500 0.826 1
Er2 0.272 0.000 0.559 1
Er3 0.406 0.000 0.839 1
Er4 0.500 0.500 0.000 1
Er5 0.594 0.000 0.161 1
Er6 0.728 0.000 0.441 1
Er7 0.953 0.500 0.174 1

---

No. 15
# PmHo3Er3 (PBE, relaxed)
# E_form: 0.22 eV/atom
# magnetization: 0.00 μB/f.u.
# energy relative to the lowest polymorph listed for this composition: 214 meV/atom
data_PmHo3Er3
_cell_length_a 8.749
_cell_length_b 8.749
_cell_length_c 8.749
_cell_angle_alpha 58.60
_cell_angle_beta 58.60
_cell_angle_gamma 58.60
_symmetry_space_group_name_H-M 'P 1'
_symmetry_Int_Tables_number 1
loop_
_symmetry_equiv_pos_as_xyz
'x,y,z'
loop_
_atom_site_label
_atom_site_fract_x
_atom_site_fract_y
_atom_site_fract_z
_atom_site_occupancy
Pm1 0.151 0.151 0.151 1
Pm2 0.849 0.849 0.849 1
Ho1 0.070 0.227 0.564 1
Ho2 0.227 0.564 0.070 1
Ho3 0.436 0.930 0.773 1
Ho4 0.564 0.070 0.227 1
Ho5 0.773 0.436 0.930 1
Ho6 0.930 0.773 0.436 1
Er1 0.214 0.435 0.673 1
Er2 0.327 0.786 0.565 1
Er3 0.435 0.673 0.214 1
Er4 0.565 0.327 0.786 1
Er5 0.673 0.214 0.435 1
Er6 0.786 0.565 0.327 1

---

No. 16
# Pm2HoEr2 (PBE, relaxed)
# E_form: 0.23 eV/atom
# magnetization: 0.00 μB/f.u.
# energy relative to the lowest polymorph listed for this composition: 201 meV/atom
data_Pm2HoEr2
_cell_length_a 5.586
_cell_length_b 5.586
_cell_length_c 11.779
_cell_angle_alpha 90.00
_cell_angle_beta 90.00
_cell_angle_gamma 117.01
_symmetry_space_group_name_H-M 'P 1'
_symmetry_Int_Tables_number 1
loop_
_symmetry_equiv_pos_as_xyz
'x,y,z'
loop_
_atom_site_label
_atom_site_fract_x
_atom_site_fract_y
_atom_site_fract_z
_atom_site_occupancy
Pm1 0.051 0.949 0.500 1
Pm2 0.347 0.653 0.337 1
Pm3 0.653 0.347 0.837 1
Pm4 0.949 0.051 0.000 1
Ho1 0.354 0.646 0.649 1
Ho2 0.646 0.354 0.149 1
Er1 0.005 0.995 0.750 1
Er2 0.294 0.706 0.994 1
Er3 0.706 0.294 0.494 1
Er4 0.995 0.005 0.250 1

---

No. 17
# PmHo8Er5 (PBE, relaxed)
# E_form: 0.25 eV/atom
# magnetization: 0.00 μB/f.u.
data_PmHo8Er5
_cell_length_a 8.377
_cell_length_b 8.377
_cell_length_c 8.377
_cell_angle_alpha 111.44
_cell_angle_beta 111.44
_cell_angle_gamma 105.59
_symmetry_space_group_name_H-M 'P 1'
_symmetry_Int_Tables_number 1
loop_
_symmetry_equiv_pos_as_xyz
'x,y,z'
loop_
_atom_site_label
_atom_site_fract_x
_atom_site_fract_y
_atom_site_fract_z
_atom_site_occupancy
Pm1 0.000 0.000 0.000 1
Ho1 0.086 0.669 0.760 1
Ho2 0.174 0.280 0.752 1
Ho3 0.331 0.091 0.417 1
Ho4 0.527 0.421 0.248 1
Ho5 0.579 0.826 0.106 1
Ho6 0.674 0.914 0.583 1
Ho7 0.720 0.473 0.894 1
Ho8 0.909 0.326 0.240 1
Er1 0.210 0.614 0.178 1
Er2 0.386 0.563 0.596 1
Er3 0.437 0.033 0.822 1
Er4 0.750 0.250 0.500 1
Er5 0.967 0.790 0.404 1

---

No. 18
# Pm6HoEr2 (PBE, relaxed)
# E_form: 0.02 eV/atom
# magnetization: 0.00 μB/f.u.
# energy relative to the lowest polymorph listed for this composition: 0 meV/atom
data_Pm6HoEr2
_cell_length_a 3.607
_cell_length_b 9.525
_cell_length_c 9.533
_cell_angle_alpha 69.06
_cell_angle_beta 79.32
_cell_angle_gamma 79.23
_symmetry_space_group_name_H-M 'P 1'
_symmetry_Int_Tables_number 1
loop_
_symmetry_equiv_pos_as_xyz
'x,y,z'
loop_
_atom_site_label
_atom_site_fract_x
_atom_site_fract_y
_atom_site_fract_z
_atom_site_occupancy
Pm1 0.058 0.218 0.169 1
Pm2 0.167 0.670 0.497 1
Pm3 0.387 0.558 0.167 1
Pm4 0.613 0.442 0.833 1
Pm5 0.833 0.330 0.503 1
Pm6 0.942 0.782 0.831 1
Ho1 0.500 0.000 0.500 1
Er1 0.277 0.109 0.836 1
Er2 0.723 0.891 0.164 1

---

No. 19
# PmHo5Er3 (PBE, relaxed)
# E_form: 0.43 eV/atom
# magnetization: 0.00 μB/f.u.
# energy relative to the lowest polymorph listed for this composition: 373 meV/atom
data_PmHo5Er3
_cell_length_a 9.262
_cell_length_b 9.262
_cell_length_c 12.133
_cell_angle_alpha 126.00
_cell_angle_beta 126.00
_cell_angle_gamma 50.66
_symmetry_space_group_name_H-M 'P 1'
_symmetry_Int_Tables_number 1
loop_
_symmetry_equiv_pos_as_xyz
'x,y,z'
loop_
_atom_site_label
_atom_site_fract_x
_atom_site_fract_y
_atom_site_fract_z
_atom_site_occupancy
Pm1 0.236 0.236 0.130 1
Pm2 0.764 0.764 0.870 1
Ho1 0.123 0.123 0.566 1
Ho2 0.143 0.729 0.220 1
Ho3 0.271 0.857 0.780 1
Ho4 0.299 0.299 0.928 1
Ho5 0.321 0.679 0.000 1
Ho6 0.679 0.321 0.000 1
Ho7 0.701 0.701 0.072 1
Ho8 0.729 0.143 0.220 1
Ho9 0.857 0.271 0.780 1
Ho10 0.877 0.877 0.434 1
Er1 0.000 0.000 0.000 1
Er2 0.171 0.171 0.339 1
Er3 0.379 0.379 0.683 1
Er4 0.500 0.500 0.500 1
Er5 0.621 0.621 0.317 1
Er6 0.829 0.829 0.661 1

---

No. 20
# PmHo2Er7 (PBE, relaxed)
# E_form: 0.71 eV/atom
# magnetization: 0.00 μB/f.u.
# energy relative to the lowest polymorph listed for this composition: 691 meV/atom
data_PmHo2Er7
_cell_length_a 9.162
_cell_length_b 9.162
_cell_length_c 5.521
_cell_angle_alpha 90.00
_cell_angle_beta 90.00
_cell_angle_gamma 123.53
_symmetry_space_group_name_H-M 'P 1'
_symmetry_Int_Tables_number 1
loop_
_symmetry_equiv_pos_as_xyz
'x,y,z'
loop_
_atom_site_label
_atom_site_fract_x
_atom_site_fract_y
_atom_site_fract_z
_atom_site_occupancy
Pm1 0.000 0.000 0.000 1
Ho1 0.297 0.703 0.500 1
Ho2 0.703 0.297 0.500 1
Er1 0.062 0.291 0.500 1
Er2 0.212 0.788 0.000 1
Er3 0.291 0.062 0.500 1
Er4 0.500 0.500 0.500 1
Er5 0.709 0.938 0.500 1
Er6 0.788 0.212 0.000 1
Er7 0.938 0.709 0.500 1